[1]
Material: BaAcGe2O6
Method: DFT, GGA-PBE
State: relaxed

a b c (Å): 7.4882 7.4882 6.5617
angles (deg): 102.11 102.11 90.36
Fractional positions:
Ba  0.1802  0.8198  0.2500
Ba  0.8198  0.1802  0.7500
Ac  0.6061  0.3939  0.2500
Ac  0.3939  0.6061  0.7500
Ge  0.2886  0.1261  0.7643
Ge  0.8739  0.7114  0.7357
Ge  0.7114  0.8739  0.2357
Ge  0.1261  0.2886  0.2643
O  0.9086  0.3716  0.1717
O  0.6284  0.0914  0.3283
O  0.0914  0.6284  0.8283
O  0.3716  0.9086  0.6717
O  0.1830  0.1366  0.0140
O  0.8634  0.8170  0.4860
O  0.8170  0.8634  0.9860
O  0.1366  0.1830  0.5140
O  0.2943  0.4790  0.3548
O  0.5210  0.7057  0.1452
O  0.7057  0.5210  0.6452
O  0.4790  0.2943  0.8548

Properties
Density of states at the Fermi level   1.00 states/eV/f.u.
Theoretical density   5.7 g/cm³
Formation energy without anion corrections   -2.2750 eV/atom


[2]
Material: Ba2AcGeO6
Method: DFT, GGA-PBE
State: relaxed

a b c (Å): 4.9868 5.9394 5.9394
angles (deg): 90.00 90.00 90.00
Fractional positions:
Ba  0.0723  0.5000  0.0000
Ba  0.0723  0.0000  0.5000
Ac  0.6094  0.5000  0.5000
Ge  0.5891  0.0000  0.0000
O  0.6875  0.2169  0.2169
O  0.6875  0.2169  0.7831
O  0.1228  0.5000  0.5000
O  0.2307  0.0000  0.0000
O  0.6875  0.7831  0.7831
O  0.6875  0.7831  0.2169

Properties
Density of states at the Fermi level   6.07 states/eV/f.u.
Theoretical density   6.3 g/cm³
Formation energy without anion corrections   -2.3676 eV/atom


[3]
Material: BaAcGeO5
Method: DFT, GGA-PBE
State: relaxed

a b c (Å): 6.3877 6.3877 8.3121
angles (deg): 100.96 100.96 108.69
Fractional positions:
Ba  0.3452  0.6548  0.2500
Ba  0.6548  0.3452  0.7500
Ac  0.0000  0.0000  0.5000
Ac  0.0000  0.0000  0.0000
Ge  0.6821  0.3179  0.2500
Ge  0.3179  0.6821  0.7500
O  0.0923  0.9077  0.2500
O  0.9077  0.0923  0.7500
O  0.9000  0.3299  0.1407
O  0.1000  0.6701  0.8593
O  0.6701  0.1000  0.3593
O  0.3299  0.9000  0.6407
O  0.7342  0.5815  0.4023
O  0.2658  0.4185  0.5977
O  0.4185  0.2658  0.0977
O  0.5815  0.7342  0.9023

Properties
Density of states at the Fermi level   7.03 states/eV/f.u.
Theoretical density   5.7 g/cm³
Formation energy without anion corrections   -2.3350 eV/atom


In the order shown, the computed VASP energy values come out to -67.8; -66.0; -54.1 eV per formula unit.
In the order shown, the computed M_tot values come out to 0.00; 1.08; 0.98 μB per formula unit.